A plane-wave DFT calculation with PBE-GGA was carried out for a relaxed SbPd4O crystal.

```
SbPd4O
1.0
6.568 0.364 0.000
-2.319 6.155 0.000
-2.124 -3.260 5.304
O Pd Sb
2 8 2
Cartesian
2.623 -0.832 2.652
3.588 5.505 0.000
1.957 5.388 1.302
-0.352 2.613 1.721
2.932 2.794 0.931
-1.326 5.206 1.350
-1.912 3.629 3.583
-0.752 0.551 4.373
0.855 3.785 3.954
2.015 0.707 4.002
4.165 1.534 2.652
0.881 1.352 0.000
```

Calculated values
As for the space-group type: I4_1md, No. 109. As for the density of states at the Fermi level: 4.07 states/eV/f.u. The calculation puts the uncorrected formation energy at -0.006 eV/atom.

***

A plane-wave DFT calculation with PBE-GGA was carried out for a relaxed AlBr4 crystal.

```
AlBr4
1.0
-2.514 3.947 -2.119
-4.189 -2.932 -0.493
-1.588 1.487 4.654
Al Br
1 4
Cartesian
-4.145 1.251 1.021
-3.351 0.507 -1.306
-2.888 -0.723 2.080
-2.051 2.717 1.267
0.000 0.000 0.000
```

Calculated values
As for the space-group type: Pm-3m, No. 221. As for the density of states at the Fermi level: 4.97 states/eV/f.u. The calculation puts the uncorrected formation energy at -0.309 eV/atom. The calculation puts the polymorph energy (0 for the lowest one) at 0.4202 eV per atom.

***

A plane-wave DFT calculation with PBE-GGA was carried out for a relaxed Ca2Bi2O5 crystal.

```
Ca2Bi2O5
1.0
4.443 0.000 0.000
0.000 6.520 0.000
0.000 0.000 10.199
Ca O Bi
4 10 4
Cartesian
0.000 4.224 1.357
0.000 2.296 8.842
0.000 0.964 3.742
0.000 5.556 6.457
0.000 1.859 1.208
2.222 2.113 3.128
2.222 1.148 8.227
2.222 0.000 5.100
2.222 5.373 1.972
0.000 4.661 8.991
0.000 5.119 3.892
2.222 3.260 0.000
0.000 1.401 6.307
2.222 4.408 7.071
2.222 1.347 1.129
2.222 4.607 3.971
2.222 1.913 6.228
2.222 5.174 9.070
```

Calculated values
As for the space-group type: Pbam, No. 55. The calculation puts the uncorrected formation energy at -1.842 eV/atom. The calculation puts the polymorph energy (0 for the lowest one) at 0.1634 eV per atom.